# 1
VASP calculation (GGA-PBE) on an optimized crystal structure of HfV2Sb2.

Output
As for the space group: P4/mbm, No. 127. The value obtained for the formation energy (no corrections) is 0.0499 eV per atom.

a b c (Å): 7.5408 7.5408 3.3198
angles (deg): 90.00 90.00 90.00
Positions (direct):
Sb 0.1737 0.6737 0.5000
Sb 0.6737 0.8263 0.5000
Sb 0.8263 0.3263 0.5000
Sb 0.3263 0.1737 0.5000
Hf 0.0000 0.0000 0.0000
Hf 0.5000 0.5000 0.0000
V 0.3823 0.8823 0.0000
V 0.8823 0.6177 0.0000
V 0.6177 0.1177 0.0000
V 0.1177 0.3823 0.0000

# 2
VASP calculation (GGA-PBE) on an optimized crystal structure of LaScAgHg.

Output
As for the space group: F-43m, No. 216. The value obtained for the total energy is -3.913 eV/atom.

a b c (Å): 5.2307 5.2307 5.2307
angles (deg): 60.00 60.00 60.00
Positions (direct):
Sc 0.7500 0.7500 0.7500
Hg 0.5000 0.5000 0.5000
Ag 0.0000 0.0000 0.0000
La 0.2500 0.2500 0.2500

# 3
VASP calculation (GGA-PBE) on an optimized crystal structure of Ce4HoIn5.

Output
As for the space group: P4/mmm, No. 123. The value obtained for the total energy is -4.534 eV/atom.

a b c (Å): 4.0907 4.0907 16.6379
angles (deg): 90.00 90.00 90.00
Positions (direct):
Ce 0.0000 0.0000 0.2063
Ce 0.0000 0.0000 0.3999
Ce 0.0000 0.0000 0.6001
Ce 0.0000 0.0000 0.7937
Ho 0.0000 0.0000 0.0000
In 0.5000 0.5000 0.0973
In 0.5000 0.5000 0.3023
In 0.5000 0.5000 0.5000
In 0.5000 0.5000 0.6977
In 0.5000 0.5000 0.9027

Values of D(E_F), in order: 9.060; 3.957; 24.444, all in states/eV/cell.